No. 1
{"formula": "PmNdZn", "functional": "GGA-PBE", "state": "optimized geometry", "magnetic_moment_mub_per_cell": 0.09, "space_group": "F-43m (216)", "delta_e_f_ev_per_atom": 0.027, "relative_energy_mev_per_atom": 0, "lattice": [[0.0000, 3.5880, 3.5880], [3.5880, 0.0000, 3.5880], [3.5880, 3.5880, 0.0000]], "species": ["Pm", "Nd", "Zn"], "fractional_positions": [[0.0000, 0.0000, 0.0000], [0.5000, 0.5000, 0.5000], [0.7500, 0.7500, 0.7500]]}

***

No. 2
{"formula": "PrNd", "functional": "GGA-PBE", "state": "optimized geometry", "magnetic_moment_mub_per_cell": 0.49, "space_group": "Fm-3m (225)", "delta_e_f_ev_per_atom": 0.599, "relative_energy_mev_per_atom": 580, "lattice": [[0.0000, 3.3156, 3.3156], [3.3156, 0.0000, 3.3156], [3.3156, 3.3156, 0.0000]], "species": ["Pr", "Nd"], "fractional_positions": [[0.0000, 0.0000, 0.0000], [0.5000, 0.5000, 0.5000]]}

***

No. 3
{"formula": "Pr2Nd", "functional": "GGA-PBE", "state": "optimized geometry", "magnetic_moment_mub_per_cell": 0.02, "space_group": "Fd-3m (227)", "delta_e_f_ev_per_atom": 1.999, "relative_energy_mev_per_atom": 1757, "lattice": [[0.0000, 6.5717, 6.5717], [6.5717, 0.0000, 6.5717], [6.5717, 6.5717, 0.0000]], "species": ["Pr", "Pr", "Pr", "Pr", "Nd", "Nd"], "fractional_positions": [[0.0000, 0.0000, 0.0000], [0.0000, 0.0000, 0.5000], [0.0000, 0.5000, 0.0000], [0.5000, 0.0000, 0.0000], [0.1250, 0.1250, 0.1250], [0.8750, 0.8750, 0.8750]]}

***

No. 4
{"formula": "Pr2Nd", "functional": "GGA-PBE", "state": "optimized geometry", "magnetic_moment_mub_per_cell": 0.61, "space_group": "Fd-3m (227)", "delta_e_f_ev_per_atom": 0.242, "relative_energy_mev_per_atom": 0, "lattice": [[0.0000, 4.7923, 4.7923], [4.7923, 0.0000, 4.7923], [4.7923, 4.7923, 0.0000]], "species": ["Pr", "Pr", "Pr", "Pr", "Nd", "Nd"], "fractional_positions": [[0.0000, 0.0000, 0.0000], [0.0000, 0.0000, 0.5000], [0.0000, 0.5000, 0.0000], [0.5000, 0.0000, 0.0000], [0.3750, 0.3750, 0.3750], [0.6250, 0.6250, 0.6250]]}

***

No. 5
{"formula": "Pr4Nd3", "functional": "GGA-PBE", "state": "optimized geometry", "magnetic_moment_mub_per_cell": 0.01, "space_group": "I-43d (220)", "delta_e_f_ev_per_atom": 0.258, "lattice": [[-5.0239, 5.0239, 5.0239], [5.0239, -5.0239, 5.0239], [5.0239, 5.0239, -5.0239]], "species": ["Pr", "Pr", "Pr", "Pr", "Pr", "Pr", "Pr", "Pr", "Nd", "Nd", "Nd", "Nd", "Nd", "Nd"], "fractional_positions": [[0.0000, 0.3449, 0.5000], [0.0000, 0.8449, 0.5000], [0.1551, 0.1551, 0.1551], [0.3449, 0.5000, 0.0000], [0.5000, 0.0000, 0.3449], [0.5000, 0.0000, 0.8449], [0.6551, 0.6551, 0.6551], [0.8449, 0.5000, 0.0000], [0.1250, 0.7500, 0.8750], [0.2500, 0.6250, 0.3750], [0.3750, 0.2500, 0.6250], [0.6250, 0.3750, 0.2500], [0.7500, 0.8750, 0.1250], [0.8750, 0.1250, 0.7500]]}

***

No. 6
{"formula": "PrNd", "functional": "GGA-PBE", "state": "optimized geometry", "magnetic_moment_mub_per_cell": 0.03, "space_group": "F-43m (216)", "delta_e_f_ev_per_atom": 1.489, "relative_energy_mev_per_atom": 1470, "lattice": [[0.0000, 3.3418, 3.3418], [3.3418, 0.0000, 3.3418], [3.3418, 3.3418, 0.0000]], "species": ["Pr", "Nd"], "fractional_positions": [[0.0000, 0.0000, 0.0000], [0.2500, 0.2500, 0.2500]]}

***

No. 7
{"formula": "PrNd", "functional": "GGA-PBE", "state": "optimized geometry", "magnetic_moment_mub_per_cell": 0.01, "space_group": "P-6m2 (187)", "delta_e_f_ev_per_atom": 0.018, "relative_energy_mev_per_atom": 0, "lattice": [[3.7006, 0.0000, 0.0000], [-1.8503, 3.2048, 0.0000], [0.0000, 0.0000, 6.0171]], "species": ["Pr", "Nd"], "fractional_positions": [[0.0000, 0.0000, 0.0000], [0.3333, 0.6667, 0.5000]]}

***

No. 8
{"formula": "Pr3NdPt4", "functional": "GGA-PBE", "state": "optimized geometry", "magnetic_moment_mub_per_cell": 0.01, "space_group": "Pm (6)", "delta_e_f_ev_per_atom": -1.126, "lattice": [[5.7342, 0.0000, 0.0000], [0.0000, 4.6356, 0.0000], [-0.0026, 0.0000, 7.3745]], "species": ["Pr", "Pr", "Pr", "Nd", "Pt", "Pt", "Pt", "Pt"], "fractional_positions": [[0.0000, 0.0000, 0.0000], [0.2202, 0.0000, 0.4999], [0.5001, 0.5000, 0.8647], [0.7202, 0.5000, 0.3647], [0.0126, 0.5000, 0.7273], [0.2075, 0.5000, 0.2275], [0.5128, 0.0000, 0.1374], [0.7076, 0.0000, 0.6370]]}

***

No. 9
{"formula": "Pr2NdPt9", "functional": "GGA-PBE", "state": "optimized geometry", "magnetic_moment_mub_per_cell": 0.00, "space_group": "R-3m (166)", "delta_e_f_ev_per_atom": -0.890, "lattice": [[2.7330, 1.5779, 8.9313], [-2.7330, 1.5779, 8.9313], [0.0000, -3.1558, 8.9313]], "species": ["Pr", "Pr", "Nd", "Pt", "Pt", "Pt", "Pt", "Pt", "Pt", "Pt", "Pt", "Pt"], "fractional_positions": [[0.1393, 0.1393, 0.1393], [0.8607, 0.8607, 0.8607], [0.0000, 0.0000, 0.0000], [0.0809, 0.5859, 0.5859], [0.3328, 0.3328, 0.3328], [0.4141, 0.4141, 0.9191], [0.4141, 0.9191, 0.4141], [0.5000, 0.5000, 0.5000], [0.5859, 0.0809, 0.5859], [0.5859, 0.5859, 0.0809], [0.6672, 0.6672, 0.6672], [0.9191, 0.4141, 0.4141]]}

***

No. 10
{"formula": "PrNd3Pt8", "functional": "GGA-PBE", "state": "optimized geometry", "magnetic_moment_mub_per_cell": 0.01, "space_group": "R3m (160)", "delta_e_f_ev_per_atom": -1.041, "lattice": [[2.7550, 1.5906, 9.0019], [-2.7550, 1.5906, 9.0019], [0.0000, -3.1812, 9.0019]], "species": ["Pr", "Nd", "Nd", "Nd", "Pt", "Pt", "Pt", "Pt", "Pt", "Pt", "Pt", "Pt"], "fractional_positions": [[0.0000, 0.0000, 0.0000], [0.3752, 0.3752, 0.3752], [0.5001, 0.5001, 0.5001], [0.8748, 0.8748, 0.8748], [0.1875, 0.1875, 0.1875], [0.4374, 0.4374, 0.9373], [0.4374, 0.9373, 0.4374], [0.4380, 0.9376, 0.9376], [0.6876, 0.6876, 0.6876], [0.9373, 0.4374, 0.4374], [0.9376, 0.4380, 0.9376], [0.9376, 0.9376, 0.4380]]}

***

No. 11
{"formula": "PrNd2Pt9", "functional": "GGA-PBE", "state": "optimized geometry", "magnetic_moment_mub_per_cell": 0.00, "space_group": "R-3m (166)", "delta_e_f_ev_per_atom": -0.903, "lattice": [[2.7325, 1.5776, 8.9141], [-2.7325, 1.5776, 8.9141], [0.0000, -3.1552, 8.9141]], "species": ["Pr", "Nd", "Nd", "Pt", "Pt", "Pt", "Pt", "Pt", "Pt", "Pt", "Pt", "Pt"], "fractional_positions": [[0.0000, 0.0000, 0.0000], [0.1394, 0.1394, 0.1394], [0.8606, 0.8606, 0.8606], [0.0809, 0.5864, 0.5864], [0.3328, 0.3328, 0.3328], [0.4136, 0.4136, 0.9191], [0.4136, 0.9191, 0.4136], [0.5000, 0.5000, 0.5000], [0.5864, 0.0809, 0.5864], [0.5864, 0.5864, 0.0809], [0.6672, 0.6672, 0.6672], [0.9191, 0.4136, 0.4136]]}

***

No. 12
{"formula": "PrNdSb2Pt2", "functional": "GGA-PBE", "state": "optimized geometry", "magnetic_moment_mub_per_cell": 0.01, "total_energy_ev_per_atom": -6.1361, "space_group": "Pm (6)", "lattice": [[9.5759, 0.0000, 0.0000], [0.0000, 4.7875, 0.0000], [-4.7870, 0.0000, 13.5416]], "species": ["Pr", "Pr", "Pr", "Pr", "Nd", "Nd", "Nd", "Nd", "Sb", "Sb", "Sb", "Sb", "Sb", "Sb", "Sb", "Sb", "Pt", "Pt", "Pt", "Pt", "Pt", "Pt", "Pt", "Pt"], "fractional_positions": [[0.0000, 0.0000, 0.0000], [0.1249, 0.5000, 0.7497], [0.2501, 0.0000, 0.4997], [0.5004, 0.0000, 0.0001], [0.3753, 0.5000, 0.2501], [0.6252, 0.5000, 0.7498], [0.7499, 0.0000, 0.4998], [0.8750, 0.5000, 0.2500], [0.1252, 0.0000, 0.2501], [0.2504, 0.5000, 0.0005], [0.3760, 0.0000, 0.7499], [0.5009, 0.5000, 0.4997], [0.6254, 0.0000, 0.2504], [0.7501, 0.5000, 0.9999], [0.8739, 0.0000, 0.7493], [0.9989, 0.5000, 0.4994], [0.0633, 0.5000, 0.1263], [0.1876, 0.0000, 0.8749], [0.3142, 0.5000, 0.6255], [0.4386, 0.0000, 0.3743], [0.5633, 0.5000, 0.1263], [0.6870, 0.0000, 0.8736], [0.8109, 0.5000, 0.6242], [0.9360, 0.0000, 0.3743]]}